Below is crystalline ZnCr2Br at its relaxed geometry, with properties calculated at the PBE level.

Results
Its space group is I-42d, No. 122. The calculation puts the uncorrected energy at -4.81 eV/atom. For the uncorrected formation energy, the calculation gives 0.74 eV per atom. The magnetization is 9.006 μB/f.u.

abc: 9.3633 9.3633 9.3633
angles: 152.20 152.20 39.71
With the nearest neighbours (Å) after each atom.
Atoms (fractional coordinates):
Zn 0.0000 0.0000 0.0000  4 Cr 2.70
Zn 0.7500 0.2500 0.5000  4 Cr 2.70
Cr 0.1162 0.6250 0.9912  2 Zn 2.70, 2 Br 2.73
Cr 0.3750 0.3662 0.4912  2 Zn 2.70, 2 Br 2.73
Cr 0.6338 0.1250 0.0088  2 Zn 2.70, 2 Br 2.73
Cr 0.8750 0.8838 0.5088  2 Zn 2.70, 2 Br 2.73
Br 0.2500 0.7500 0.5000  4 Cr 2.73
Br 0.5000 0.5000 0.0000  4 Cr 2.73


Below is crystalline ZnCrBr2 at its relaxed geometry, with properties calculated at the PBE level.

Results
Its space group is Cmm2, No. 35. The calculation puts the uncorrected energy at -3.73 eV/atom. For the uncorrected formation energy, the calculation gives -0.17 eV per atom. The magnetization is 4.000 μB/f.u.

abc: 3.8915 3.8915 9.3362
angles: 90.00 90.00 125.79
With the nearest neighbours (Å) after each atom.
Atoms (fractional coordinates):
Zn 0.0000 0.0000 0.0000  2 Br 2.48, 2 Cr 2.72
Cr 0.5000 0.5000 0.2215  2 Br 2.47, 2 Zn 2.72
Br 0.0000 0.0000 0.4061  2 Cr 2.47
Br 0.5000 0.5000 0.8147  2 Zn 2.48


Below is crystalline ZnCrBr2 at its relaxed geometry, with properties calculated at the PBE level.

Results
Its space group is Fm-3m, No. 225. The calculation puts the uncorrected energy at -3.42 eV/atom. For the uncorrected formation energy, the calculation gives 0.14 eV per atom. The magnetization is 4.127 μB/f.u.

abc: 5.0121 5.0121 5.0121
angles: 60.00 60.00 60.00
With the nearest neighbours (Å) after each atom.
Atoms (fractional coordinates):
Zn 0.0000 0.0000 0.0000  8 Br 3.07
Cr 0.5000 0.5000 0.5000  8 Br 3.07
Br 0.2500 0.2500 0.2500  4 Cr 3.07, 4 Zn 3.07
Br 0.7500 0.7500 0.7500  4 Zn 3.07, 4 Cr 3.07


Below is crystalline ZnCrBr2 at its relaxed geometry, with properties calculated at the PBE level.

Results
Its space group is I-42d, No. 122. The calculation puts the uncorrected energy at -3.74 eV/atom. For the uncorrected formation energy, the calculation gives -0.18 eV per atom. The magnetization is 4.000 μB/f.u.

abc: 7.0794 7.0794 7.0794
angles: 98.31 98.31 135.32
With the nearest neighbours (Å) after each atom.
Atoms (fractional coordinates):
Zn 0.0000 0.0000 0.0000  2 Cr 2.69
Zn 0.7500 0.2500 0.5000  2 Cr 2.69
Cr 0.2500 0.7500 0.5000  4 Br 2.58, 2 Zn 2.69
Cr 0.5000 0.5000 0.0000  4 Br 2.58, 2 Zn 2.69
Br 0.2751 0.6250 0.1501  2 Cr 2.58
Br 0.3750 0.5251 0.6501  2 Cr 2.58
Br 0.4749 0.1250 0.8499  2 Cr 2.58
Br 0.8750 0.7249 0.3499  2 Cr 2.58


Below is crystalline ZnCrBr3 at its relaxed geometry, with properties calculated at the PBE level.

Results
Its space group is Pm-3m, No. 221. The calculation puts the uncorrected energy at -3.43 eV/atom. For the uncorrected formation energy, the calculation gives -0.25 eV per atom. The magnetization is 3.011 μB/f.u.

abc: 5.1456 5.1456 5.1456
angles: 90.00 90.00 90.00
With the nearest neighbours (Å) after each atom.
Atoms (fractional coordinates):
Zn 0.0000 0.0000 0.0000  12 Br 3.64
Cr 0.5000 0.5000 0.5000  6 Br 2.57
Br 0.0000 0.5000 0.5000  2 Cr 2.57
Br 0.5000 0.0000 0.5000  2 Cr 2.57
Br 0.5000 0.5000 0.0000  2 Cr 2.57


Below is crystalline Zn3CrBr at its relaxed geometry, with properties calculated at the PBE level.

Results
Its space group is Pm-3m, No. 221. The calculation puts the uncorrected energy at -2.54 eV/atom. For the uncorrected formation energy, the calculation gives 0.49 eV per atom. The magnetization is 4.824 μB/f.u.

abc: 5.1096 5.1096 5.1096
angles: 90.00 90.00 90.00
With the nearest neighbours (Å) after each atom.
Atoms (fractional coordinates):
Zn 0.0000 0.0000 0.5000  2 Cr 2.55
Zn 0.0000 0.5000 0.0000  2 Cr 2.55
Zn 0.5000 0.0000 0.0000  2 Cr 2.55
Cr 0.0000 0.0000 0.0000  6 Zn 2.55
Br 0.5000 0.5000 0.5000  12 Zn 3.61


Below is crystalline ZnCrBr2 at its relaxed geometry, with properties calculated at the PBE level.

Results
Its space group is R-3m, No. 166. The calculation puts the uncorrected energy at -3.44 eV/atom. For the uncorrected formation energy, the calculation gives 0.12 eV per atom. The magnetization is 4.251 μB/f.u.

abc: 8.4952 8.4952 8.4952
angles: 29.29 29.29 29.29
With the nearest neighbours (Å) after each atom.
Atoms (fractional coordinates):
Zn 0.0000 0.0000 0.0000  6 Br 2.96
Cr 0.5000 0.5000 0.5000  2 Br 2.44
Br 0.4000 0.4000 0.4000  1 Cr 2.44
Br 0.6000 0.6000 0.6000  1 Cr 2.44


Below is crystalline ZnCr2Br at its relaxed geometry, with properties calculated at the PBE level.

Results
Its space group is Pm, No. 6. The calculation puts the uncorrected energy at -5.12 eV/atom. For the uncorrected formation energy, the calculation gives 0.43 eV per atom. The magnetization is 0.072 μB/f.u.

abc: 3.2313 3.9420 6.4310
angles: 90.00 99.75 90.00
With the nearest neighbours (Å) after each atom.
Atoms (fractional coordinates):
Zn 0.0000 0.0000 0.0000  4 Cr 2.61-2.76
Cr 0.4050 0.0000 0.6547  4 Cr 2.55-2.63, 2 Zn 2.68-2.76, 2 Br 2.79
Cr 0.9508 0.5000 0.7301  4 Cr 2.55-2.63, 2 Zn 2.61, 1 Br 2.63
Br 0.1536 0.5000 0.3517  3 Cr 2.63-2.79


Below is crystalline Zn3CrBr at its relaxed geometry, with properties calculated at the PBE level.

Results
Its space group is Pm-3m, No. 221. The calculation puts the uncorrected energy at -1.95 eV/atom. For the uncorrected formation energy, the calculation gives 1.08 eV per atom. The magnetization is 5.006 μB/f.u.

abc: 5.1818 5.1818 5.1818
angles: 90.00 90.00 90.00
With the nearest neighbours (Å) after each atom.
Atoms (fractional coordinates):
Zn 0.0000 0.0000 0.5000  2 Br 2.59
Zn 0.0000 0.5000 0.0000  2 Br 2.59
Zn 0.5000 0.0000 0.0000  2 Br 2.59
Cr 0.5000 0.5000 0.5000  12 Zn 3.66
Br 0.0000 0.0000 0.0000  6 Zn 2.59


Below is crystalline ZnCr2Br at its relaxed geometry, with properties calculated at the PBE level.

Results
Its space group is Cm, No. 8. The calculation puts the uncorrected energy at -4.95 eV/atom. For the uncorrected formation energy, the calculation gives 0.60 eV per atom. The magnetization is 8.484 μB/f.u.

abc: 5.5259 5.5259 4.5423
angles: 105.99 105.99 34.59
With the nearest neighbours (Å) after each atom.
Atoms (fractional coordinates):
Zn 0.0000 0.0000 0.0000  7 Cr 2.76-2.91
Cr 0.2657 0.2657 0.9316  4 Br 2.78-2.83, 3 Zn 2.91
Cr 0.5109 0.5109 0.5196  1 Br 2.69, 4 Zn 2.76-2.85
Br 0.7516 0.7516 0.4284  5 Cr 2.69-2.83


Below is crystalline ZnCr2Br at its relaxed geometry, with properties calculated at the PBE level.

Results
Its space group is Imm2, No. 44. The calculation puts the uncorrected energy at -5.20 eV/atom. For the uncorrected formation energy, the calculation gives 0.35 eV per atom. The magnetization is 0.456 μB/f.u.

abc: 6.4460 6.4460 6.4460
angles: 151.89 141.69 48.19
With the nearest neighbours (Å) after each atom.
Atoms (fractional coordinates):
Zn 0.0000 0.0000 0.0000  6 Cr 2.65-2.68
Cr 0.4711 0.4711 0.0000  2 Cr 2.53, 4 Zn 2.65
Cr 0.6397 0.1397 0.5000  2 Cr 2.53, 2 Zn 2.68
Br 0.2696 0.7696 0.5000  6 Cr 2.84-3.04, 2 Br 3.13


Below is crystalline ZnCr2Br at its relaxed geometry, with properties calculated at the PBE level.

Results
Its space group is F-43m, No. 216. The calculation puts the uncorrected energy at -4.84 eV/atom. For the uncorrected formation energy, the calculation gives 0.71 eV per atom. The magnetization is 0.498 μB/f.u.

abc: 4.6744 4.6744 4.6744
angles: 60.00 60.00 60.00
With the nearest neighbours (Å) after each atom.
Atoms (fractional coordinates):
Zn 0.0000 0.0000 0.0000  4 Cr 2.86, 4 Br 2.86
Cr 0.5000 0.5000 0.5000  4 Cr 2.86, 4 Br 2.86
Cr 0.7500 0.7500 0.7500  4 Cr 2.86, 4 Zn 2.86
Br 0.2500 0.2500 0.2500  4 Cr 2.86, 4 Zn 2.86


Below is crystalline Zn2CrBr at its relaxed geometry, with properties calculated at the PBE level.

Results
Its space group is Cmmm, No. 65. The calculation puts the uncorrected energy at -3.21 eV/atom. For the uncorrected formation energy, the calculation gives 0.25 eV per atom. The magnetization is 3.486 μB/f.u.

abc: 3.2568 3.2568 7.0469
angles: 90.00 90.00 90.19
With the nearest neighbours (Å) after each atom.
Atoms (fractional coordinates):
Zn 0.0000 0.0000 0.2089  4 Cr 2.73-2.74, 1 Zn 2.94
Zn 0.0000 0.0000 0.7911  4 Cr 2.73-2.74, 1 Zn 2.94
Cr 0.5000 0.5000 0.0000  8 Zn 2.73-2.74
Br 0.5000 0.5000 0.5000  8 Zn 3.08-3.09, 4 Br 3.26


Below is crystalline ZnCrBr2 at its relaxed geometry, with properties calculated at the PBE level.

Results
Its space group is Pmmm, No. 47. The calculation puts the uncorrected energy at -3.51 eV/atom. For the uncorrected formation energy, the calculation gives 0.05 eV per atom. The magnetization is 4.841 μB/f.u.

abc: 3.8992 3.8999 6.8632
angles: 90.00 90.00 90.00
With the nearest neighbours (Å) after each atom.
Atoms (fractional coordinates):
Zn 0.0000 0.0000 0.0000  4 Br 2.76
Cr 0.5000 0.0000 0.5000  4 Br 2.76
Br 0.0000 0.5000 0.5000  4 Cr 2.76
Br 0.5000 0.5000 0.0000  4 Zn 2.76


Below is crystalline ZnCrBr2 at its relaxed geometry, with properties calculated at the PBE level.

Results
Its space group is Imm2, No. 44. The calculation puts the uncorrected energy at -3.73 eV/atom. For the uncorrected formation energy, the calculation gives -0.17 eV per atom. The magnetization is 3.997 μB/f.u.

abc: 6.4493 6.4493 6.4493
angles: 148.70 100.72 87.68
With the nearest neighbours (Å) after each atom.
Atoms (fractional coordinates):
Zn 0.0000 0.0000 0.0000  2 Br 2.51, 2 Cr 2.72
Cr 0.2250 0.7250 0.5000  2 Br 2.46, 2 Zn 2.72
Br 0.4124 0.4124 0.0000  2 Cr 2.46
Br 0.8057 0.3057 0.5000  2 Zn 2.51